The following is a DFT calculation (PBE) of a relaxed BaHgAs3 crystal.

volume = 42.641 Å³ per atom
ΔH_f (0 K) = 100 kJ/mol of atoms
theoretical density = 4382 kg/m³
E above lowest polymorph = 940 meV/atom

abc: 5.974 5.974 5.974
angles: 90.00 90.00 90.00
Fractional positions:
As  0.000  0.500  0.000
As  0.000  0.000  0.500
As  0.500  0.000  0.000
Hg  0.500  0.500  0.500
Ba  0.000  0.000  0.000

***

The following is a DFT calculation (PBE) of a relaxed Ba2HgAs3 crystal.

volume = 30.748 Å³ per atom
ΔH_f (0 K) = -71 kJ/mol of atoms
theoretical density = 6301 kg/m³

abc: 4.661 7.493 21.128
angles: 90.00 90.00 90.00
Fractional positions:
Ba  0.250  0.676  0.577
Ba  0.750  0.824  0.077
Ba  0.250  0.176  0.923
Ba  0.750  0.324  0.423
Ba  0.250  0.694  0.795
Ba  0.750  0.806  0.295
Ba  0.250  0.194  0.705
Ba  0.750  0.306  0.205
Hg  0.250  0.952  0.436
Hg  0.750  0.548  0.936
Hg  0.250  0.452  0.064
Hg  0.750  0.048  0.564
As  0.250  0.728  0.959
As  0.750  0.772  0.459
As  0.250  0.228  0.541
As  0.750  0.272  0.041
As  0.250  0.965  0.182
As  0.750  0.535  0.682
As  0.250  0.465  0.318
As  0.750  0.035  0.818
As  0.250  0.643  0.182
As  0.750  0.857  0.682
As  0.250  0.143  0.318
As  0.750  0.357  0.818

***

The following is a DFT calculation (PBE) of a relaxed BaHg2As crystal.

volume = 31.830 Å³ per atom
ΔH_f (0 K) = -41 kJ/mol of atoms
theoretical density = 8000 kg/m³

abc: 4.488 4.825 6.069
angles: 75.69 90.00 90.00
Fractional positions:
As  0.000  0.266  0.560
Hg  0.000  0.067  0.051
Hg  0.500  0.417  0.227
Ba  0.500  0.750  0.662

***

The following is a DFT calculation (PBE) of a relaxed Ba2HgAs2 crystal.

volume = 33.207 Å³ per atom
ΔH_f (0 K) = -50 kJ/mol of atoms
theoretical density = 6252 kg/m³

abc: 4.114 4.114 10.230
angles: 78.40 78.40 90.00
Fractional positions:
As  0.750  0.250  0.500
As  0.250  0.750  0.500
Hg  0.000  0.000  0.000
Ba  0.383  0.383  0.234
Ba  0.617  0.617  0.766

***

The following is a DFT calculation (PBE) of a relaxed Ba2HgAs crystal.

volume = 35.122 Å³ per atom
ΔH_f (0 K) = -77 kJ/mol of atoms
theoretical density = 6503 kg/m³
E above lowest polymorph = 11 meV/atom

abc: 4.162 4.162 8.109
angles: 90.00 90.00 90.00
Fractional positions:
As  0.500  0.500  0.750
Hg  0.500  0.500  0.250
Ba  0.000  0.000  0.964
Ba  0.000  0.000  0.536

***

The following is a DFT calculation (PBE) of a relaxed BaHg2As crystal.

volume = 29.506 Å³ per atom
ΔH_f (0 K) = -27 kJ/mol of atoms
theoretical density = 8631 kg/m³

abc: 4.163 4.163 6.810
angles: 90.00 90.00 90.05
Fractional positions:
As  0.500  0.500  0.250
Hg  0.000  0.000  0.036
Hg  0.000  0.000  0.464
Ba  0.500  0.500  0.750

***

The following is a DFT calculation (PBE) of a relaxed BaHg2As crystal.

volume = 30.941 Å³ per atom
ΔH_f (0 K) = -43 kJ/mol of atoms
theoretical density = 8230 kg/m³

abc: 5.179 5.179 6.178
angles: 64.82 64.82 58.89
Fractional positions:
As  0.450  0.450  0.653
Hg  0.019  0.019  0.947
Hg  0.792  0.792  0.624
Ba  0.239  0.239  0.277

***

The following is a DFT calculation (PBE) of a relaxed Ba2HgAs crystal.

volume = 41.748 Å³ per atom
ΔH_f (0 K) = -78 kJ/mol of atoms
theoretical density = 5471 kg/m³
E above lowest polymorph = 0 meV/atom

abc: 4.842 4.842 8.688
angles: 73.82 73.82 60.00
Fractional positions:
Ba  0.070  0.070  0.791
Ba  0.264  0.264  0.209
Hg  0.502  0.502  0.493
As  0.665  0.665  0.006

***

- Among the records above, which one has the highest theoretical density?
  number 6

***

What did the second record say?
The following is a DFT calculation (PBE) of a relaxed Ba2HgAs3 crystal.

volume = 30.748 Å³ per atom
ΔH_f (0 K) = -71 kJ/mol of atoms
theoretical density = 6301 kg/m³

abc: 4.661 7.493 21.128
angles: 90.00 90.00 90.00
Fractional positions:
Ba  0.250  0.676  0.577
Ba  0.750  0.824  0.077
Ba  0.250  0.176  0.923
Ba  0.750  0.324  0.423
Ba  0.250  0.694  0.795
Ba  0.750  0.806  0.295
Ba  0.250  0.194  0.705
Ba  0.750  0.306  0.205
Hg  0.250  0.952  0.436
Hg  0.750  0.548  0.936
Hg  0.250  0.452  0.064
Hg  0.750  0.048  0.564
As  0.250  0.728  0.959
As  0.750  0.772  0.459
As  0.250  0.228  0.541
As  0.750  0.272  0.041
As  0.250  0.965  0.182
As  0.750  0.535  0.682
As  0.250  0.465  0.318
As  0.750  0.035  0.818
As  0.250  0.643  0.182
As  0.750  0.857  0.682
As  0.250  0.143  0.318
As  0.750  0.357  0.818